VASP calculation (PBE) on a relaxed K3AlAg crystal.

a = 6.346 Å, b = 6.346 Å, c = 6.346 Å
α = 90.00°, β = 90.00°, γ = 90.00°
Space group Pm-3m (No. 221)
Symmetry-distinct sites (fractional):
K: 0.000 0.000 0.500
Al: 0.500 0.500 0.500
Ag: 0.000 0.000 0.000

Calculated values
Crystal system   cubic
Uncorrected energy   -1.547 eV per atom
E above lowest polymorph   0 meV/atom
DOS(E_F)   4.1 states/eV per cell
Total magnetic moment   0.0000 μB per atom
Mass density   1.64 Mg/m³
Formation enthalpy at 0 K   0.430 eV per atom